(1)
Material: MnCo2Br
Method: DFT, GGA-PBE
State: relaxed

calculated total energy = -22.8 eV/cell
total moment = 1.479 μB/atom
energy relative to the elements, uncorrected = 0.573 eV per atom
space group = R-3m, No. 166

Lattice parameters (Å, degrees): 7.8138 7.8138 7.8138 21.73 21.73 21.73
Positions (direct):
1 Mn 0.0000 0.0000 0.0000
2 Co 0.2549 0.2549 0.2549
3 Co 0.7451 0.7451 0.7451
4 Br 0.5000 0.5000 0.5000

(2)
Material: MnCoBr2
Method: DFT, GGA-PBE
State: relaxed

calculated total energy = -18.0 eV/cell
total moment = 1.541 μB/atom
energy relative to the elements, uncorrected = 0.409 eV per atom
space group = Cmmm, No. 65

Lattice parameters (Å, degrees): 3.6397 3.6397 7.5381 90.00 90.00 121.07
Positions (direct):
1 Mn 0.0000 0.0000 0.0000
2 Co 0.0000 0.0000 0.5000
3 Br 0.5000 0.5000 0.2648
4 Br 0.5000 0.5000 0.7352

(3)
Material: MnCo2Br
Method: DFT, GGA-PBE
State: relaxed

calculated total energy = -22.2 eV/cell
total moment = 1.879 μB/atom
energy relative to the elements, uncorrected = 0.720 eV per atom
space group = I4/mmm, No. 139

Lattice parameters (Å, degrees): 5.0423 5.0423 5.0423 137.53 137.53 61.62
Positions (direct):
1 Mn 0.0000 0.0000 0.0000
2 Co 0.2500 0.7500 0.5000
3 Co 0.7500 0.2500 0.5000
4 Br 0.5000 0.5000 0.0000

(4)
Material: MnCoBr
Method: DFT, GGA-PBE
State: relaxed

calculated total energy = -16.1 eV/cell
total moment = 1.586 μB/atom
energy relative to the elements, uncorrected = 0.623 eV per atom
space group = F-43m, No. 216

Lattice parameters (Å, degrees): 4.1120 4.1120 4.1120 60.00 60.00 60.00
Positions (direct):
1 Mn 0.0000 0.0000 0.0000
2 Co 0.7500 0.7500 0.7500
3 Br 0.5000 0.5000 0.5000

(5)
Material: MnCo2Br
Method: DFT, GGA-PBE
State: relaxed

calculated total energy = -22.9 eV/cell
total moment = 2.017 μB/atom
energy relative to the elements, uncorrected = 0.534 eV per atom
space group = C2/m, No. 12

Lattice parameters (Å, degrees): 4.6100 4.6100 6.0422 104.62 104.62 40.50
Positions (direct):
1 Mn 0.0000 0.0000 0.0000
2 Co 0.3065 0.3065 0.1303
3 Co 0.6935 0.6935 0.8697
4 Br 0.5000 0.5000 0.5000

(6)
Material: MnCoBr2
Method: DFT, GGA-PBE
State: relaxed

calculated total energy = -16.4 eV/cell
total moment = 1.571 μB/atom
energy relative to the elements, uncorrected = 0.809 eV per atom
space group = F-43m, No. 216

Lattice parameters (Å, degrees): 4.8449 4.8449 4.8449 60.00 60.00 60.00
Positions (direct):
1 Mn 0.0000 0.0000 0.0000
2 Co 0.2500 0.2500 0.2500
3 Br 0.5000 0.5000 0.5000
4 Br 0.7500 0.7500 0.7500

(7)
Material: MnCo2Br
Method: DFT, GGA-PBE
State: relaxed

calculated total energy = -23.4 eV/cell
total moment = 1.885 μB/atom
energy relative to the elements, uncorrected = 0.418 eV per atom
space group = R3m, No. 160

Lattice parameters (Å, degrees): 6.4147 6.4147 6.4147 32.98 32.98 32.98
Positions (direct):
1 Mn 0.0000 0.0000 0.0000
2 Co 0.4460 0.4460 0.4460
3 Co 0.7424 0.7424 0.7424
4 Br 0.2324 0.2324 0.2324

(8)
Material: Mn3CoBr
Method: DFT, GGA-PBE
State: relaxed

calculated total energy = -27.4 eV/cell
total moment = 0.000 μB/atom
energy relative to the elements, uncorrected = 1.778 eV per atom
space group = Pm-3m, No. 221

Lattice parameters (Å, degrees): 4.2304 4.2304 4.2304 90.00 90.00 90.00
Positions (direct):
1 Mn 0.0000 0.0000 0.5000
2 Mn 0.0000 0.5000 0.0000
3 Mn 0.5000 0.0000 0.0000
4 Co 0.5000 0.5000 0.5000
5 Br 0.0000 0.0000 0.0000

(9)
Material: MnCoBr2
Method: DFT, GGA-PBE
State: relaxed

calculated total energy = -34.1 eV/cell
total moment = 0.372 μB/atom
energy relative to the elements, uncorrected = 0.646 eV per atom
space group = I-42d, No. 122

Lattice parameters (Å, degrees): 6.6172 6.6172 6.6172 131.11 131.11 71.64
Positions (direct):
1 Mn 0.0000 0.0000 0.0000
2 Mn 0.7500 0.2500 0.5000
3 Co 0.2500 0.7500 0.5000
4 Co 0.5000 0.5000 0.0000
5 Br 0.1218 0.6250 0.9968
6 Br 0.3750 0.3718 0.4968
7 Br 0.6282 0.1250 0.0032
8 Br 0.8750 0.8782 0.5032

(10)
Material: MnCo2Br
Method: DFT, GGA-PBE
State: relaxed

calculated total energy = -22.6 eV/cell
total moment = 1.647 μB/atom
energy relative to the elements, uncorrected = 0.626 eV per atom
space group = P4/mmm, No. 123

Lattice parameters (Å, degrees): 4.2027 4.2027 3.0960 90.00 90.00 90.00
Positions (direct):
1 Mn 0.0000 0.0000 0.0000
2 Co 0.0000 0.5000 0.5000
3 Co 0.5000 0.0000 0.5000
4 Br 0.5000 0.5000 0.0000

(11)
Material: MnCo3Br
Method: DFT, GGA-PBE
State: relaxed

calculated total energy = -26.5 eV/cell
total moment = 1.405 μB/atom
energy relative to the elements, uncorrected = 1.133 eV per atom
space group = Pm-3m, No. 221

Lattice parameters (Å, degrees): 4.3010 4.3010 4.3010 90.00 90.00 90.00
Positions (direct):
1 Mn 0.0000 0.0000 0.0000
2 Co 0.0000 0.5000 0.5000
3 Co 0.5000 0.0000 0.5000
4 Co 0.5000 0.5000 0.0000
5 Br 0.5000 0.5000 0.5000

(12)
Material: MnCo2Br
Method: DFT, GGA-PBE
State: relaxed

calculated total energy = -23.5 eV/cell
total moment = 1.914 μB/atom
energy relative to the elements, uncorrected = 0.391 eV per atom
space group = P4mm, No. 99

Lattice parameters (Å, degrees): 3.1444 3.1444 6.5385 90.00 90.00 90.00
Positions (direct):
1 Mn 0.0000 0.0000 0.0000
2 Co 0.0000 0.0000 0.6279
3 Co 0.5000 0.5000 0.7740
4 Br 0.5000 0.5000 0.2559